DFT (PBE) results for crystalline KTaCoSe3 at its relaxed geometry.

The calculation puts the calculated total energy at -139.90 eV for the cell shown. The volume is 539.87 Å³ per cell.

The space group is Cmcm (No. 63) and the conventional cell measures 3.5855, 15.6111 and 9.6450 Å, with angles of 90.00, 90.00 and 90.00 degrees. The asymmetric unit holds K at (0.0000, 0.2505, 0.2500), Ta at (0.0000, 0.0000, 0.0000), Co at (0.0000, 0.4754, 0.7500), Se at (0.0000, 0.0722, 0.7500) and Se at (0.0000, 0.3816, 0.5579).